# 1
The following is a DFT calculation (PBE-GGA) of a relaxed Tb2NdZn2In2 crystal.

Calculated values
N(E_F): 0.508 states/eV per atom
DFT total energy: -3.44 eV/atom
ΔH_f (0 K): -0.2942 eV/atom

```
data_Tb2NdZn2In2
_chemical_formula_sum 'Tb6 Nd3 Zn6 In6'
_cell_length_a 4.7394
_cell_length_b 4.7394
_cell_length_c 27.7224
_cell_angle_alpha 90.00
_cell_angle_beta 90.00
_cell_angle_gamma 120.00
_space_group_name_H-M_alt 'R -3 m'
_space_group_IT_number 166
_space_group_name_Hall '-R 3 2"'
loop_
_atom_site_label
_atom_site_type_symbol
_atom_site_fract_x
_atom_site_fract_y
_atom_site_fract_z
Tb1 Tb 0.0000 0.0000 0.1286
Nd1 Nd 0.0000 0.0000 0.0000
Zn1 Zn 0.0000 0.0000 0.4044
In1 In 0.0000 0.0000 0.2608
```

# 2
The following is a DFT calculation (PBE-GGA) of a relaxed Tb5Mg2Pb5 crystal.

Calculated values
N(E_F): 0.740 states/eV per atom
DFT total energy: -4.05 eV/atom
ΔH_f (0 K): -0.3074 eV/atom

```
data_Tb5Mg2Pb5
_chemical_formula_sum 'Tb10 Mg4 Pb10'
_cell_length_a 14.172
_cell_length_b 4.669
_cell_length_c 12.259
_cell_angle_alpha 90.00
_cell_angle_beta 119.86
_cell_angle_gamma 90.00
_space_group_name_H-M_alt 'C 1 2/m 1'
_space_group_IT_number 12
loop_
_space_group_symop_operation_xyz
'x,y,z'
'-x,-y,-z'
'-x,y,-z'
'x,-y,z'
'x+1/2,y+1/2,z'
'-x+1/2,-y+1/2,-z'
'-x+1/2,y+1/2,-z'
'x+1/2,-y+1/2,z'
loop_
_atom_site_label
_atom_site_type_symbol
_atom_site_fract_x
_atom_site_fract_y
_atom_site_fract_z
Tb1 Tb 0.000 0.000 0.000
Tb2 Tb 0.151 0.000 0.496
Tb3 Tb 0.155 0.000 0.796
Mg1 Mg 0.087 0.500 0.269
Pb1 Pb 0.000 0.500 0.500
Pb2 Pb 0.125 0.500 0.952
Pb3 Pb 0.228 0.000 0.286
```

# 3
The following is a DFT calculation (PBE-GGA) of a relaxed HgTePbI2 crystal.

Calculated values
N(E_F): 0.411 states/eV per atom
excess energy over the best structure of this formula in the dataset: 0.061 eV/atom
ΔE_f (raw): 0.13 eV per atom
DFT total energy: -1.92 eV/atom

```
data_HgTePbI2
_chemical_formula_sum 'Hg1 Te1 Pb1 I2'
_cell_length_a 5.799
_cell_length_b 5.799
_cell_length_c 5.848
_cell_angle_alpha 90.00
_cell_angle_beta 90.00
_cell_angle_gamma 90.00
_space_group_name_H-M_alt 'P 4/m m m'
_space_group_IT_number 123
_space_group_name_Hall '-P 4 2'
loop_
_atom_site_label
_atom_site_type_symbol
_atom_site_fract_x
_atom_site_fract_y
_atom_site_fract_z
Hg1 Hg 0.000 0.000 0.000
Te1 Te 0.000 0.000 0.500
Pb1 Pb 0.500 0.500 0.500
I1 I 0.000 0.500 0.000
```

# 4
The following is a DFT calculation (PBE-GGA) of a relaxed La3Cd5S12 crystal.

Calculated values
N(E_F): 0.987 states/eV per atom
ΔE_f (raw): -0.85 eV per atom
DFT total energy: -4.30 eV/atom

```
data_La3Cd5S12
_chemical_formula_sum 'La24 Cd40 S96'
_cell_length_a 15.989
_cell_length_b 15.989
_cell_length_c 15.989
_cell_angle_alpha 90.00
_cell_angle_beta 90.00
_cell_angle_gamma 90.00
_space_group_name_H-M_alt 'I a -3 d'
_space_group_IT_number 230
_space_group_name_Hall '-I 4bd 2c 3'
loop_
_atom_site_label
_atom_site_type_symbol
_atom_site_fract_x
_atom_site_fract_y
_atom_site_fract_z
La1 La 0.000 0.250 0.125
Cd1 Cd 0.000 0.000 0.000
Cd2 Cd 0.000 0.250 0.375
S1 S 0.020 0.067 0.653
```

# 5
The following is a DFT calculation (PBE-GGA) of a relaxed CaTaIn2 crystal.

Calculated values
N(E_F): 0.765 states/eV per atom
DFT total energy: -4.72 eV/atom
ΔH_f (0 K): 0.1174 eV/atom

```
data_CaTaIn2
_chemical_formula_sum 'Ca1 Ta1 In2'
_cell_length_a 3.596
_cell_length_b 3.596
_cell_length_c 7.206
_cell_angle_alpha 90.00
_cell_angle_beta 90.00
_cell_angle_gamma 90.00
_space_group_name_H-M_alt 'P 4/m m m'
_space_group_IT_number 123
_space_group_name_Hall '-P 4 2'
loop_
_atom_site_label
_atom_site_type_symbol
_atom_site_fract_x
_atom_site_fract_y
_atom_site_fract_z
Ca1 Ca 0.000 0.000 0.000
Ta1 Ta 0.000 0.000 0.500
In1 In 0.500 0.500 0.282
```

# 6
The following is a DFT calculation (PBE-GGA) of a relaxed Ba2Ca2Hg crystal.

Calculated values
N(E_F): 0.919 states/eV per atom
excess energy over the best structure of this formula in the dataset: 0.123 eV/atom
DFT total energy: -1.71 eV/atom
ΔH_f (0 K): -0.0830 eV/atom

```
data_Ba2Ca2Hg
_chemical_formula_sum 'Ba4 Ca4 Hg2'
_cell_length_a 8.280
_cell_length_b 8.280
_cell_length_c 6.589
_cell_angle_alpha 90.00
_cell_angle_beta 90.00
_cell_angle_gamma 90.00
_space_group_name_H-M_alt 'P 4/m b m'
_space_group_IT_number 127
_space_group_name_Hall '-P 4 2ab'
loop_
_atom_site_label
_atom_site_type_symbol
_atom_site_fract_x
_atom_site_fract_y
_atom_site_fract_z
Ba1 Ba 0.176 0.324 0.000
Ca1 Ca 0.156 0.656 0.500
Hg1 Hg 0.000 0.000 0.500
```